1.
First-principles (PBE with a Hubbard U) data for a relaxed TlVIO6 crystal, as listed in Alexandria via LeMat-Bulk.

Summary:
electronic total energy: -0.4069 Ry/atom
size of the total moment: 1.0 Bohr magnetons per cell

Cell and atoms, written as POSCAR:
```
TlVIO6
1.0
5.228 0.000 0.000
-2.614 4.528 0.000
0.000 0.000 6.281
Tl V I O
1 1 1 6
Cartesian
0.000 0.000 0.000 Tl
2.614 1.509 3.140 V
0.000 3.019 3.140 I
-1.013 1.811 2.038 O
-1.552 2.746 4.242 O
1.013 1.811 4.242 O
-0.540 4.500 2.038 O
1.552 2.746 2.038 O
0.540 4.500 4.242 O
```



2.
First-principles (PBE with a Hubbard U) data for a relaxed TlVI2O crystal, as listed in Alexandria via LeMat-Bulk.

Summary:
electronic total energy: -0.2045 Ry/atom
size of the total moment: 0.0 Bohr magnetons per cell
Fermi-level density of states: 1.5733 states/eV/atom

Cell and atoms, written as POSCAR:
```
TlVI2O
1.0
6.175 0.000 0.000
0.000 6.175 0.000
0.000 0.000 4.099
Tl V I O
1 1 2 1
Cartesian
0.000 0.000 0.000 Tl
3.087 3.087 2.050 V
0.000 3.087 0.000 I
3.087 0.000 0.000 I
0.000 0.000 2.050 O
```



3.
First-principles (PBE with a Hubbard U) data for a relaxed Tl2VIO6 crystal, as listed in Alexandria via LeMat-Bulk.

Summary:
electronic total energy: -0.3750 Ry/atom
size of the total moment: 0.0 Bohr magnetons per cell

Cell and atoms, written as POSCAR:
```
Tl2VIO6
1.0
0.000 4.082 4.082
4.082 0.000 4.082
4.082 4.082 0.000
Tl V I O
2 1 1 6
Cartesian
2.041 2.041 2.041 Tl
6.123 6.123 6.123 Tl
0.000 0.000 0.000 V
4.082 4.082 4.082 I
4.082 4.082 1.945 O
4.082 1.945 4.082 O
6.219 4.082 4.082 O
1.945 4.082 4.082 O
4.082 6.219 4.082 O
4.082 4.082 6.219 O
```